A plane-wave DFT calculation with PBE with a Hubbard U was carried out for a geometry-optimized ReW2F structure.

Structure (CIF):
```
data_ReW2F
_space_group_name_H-M_alt 'F m -3 m'
_space_group_IT_number 225
_space_group_name_Hall '-F 4 2 3'
_cell_length_a 6.381
_cell_length_b 6.381
_cell_length_c 6.381
_cell_angle_alpha 90.00
_cell_angle_beta 90.00
_cell_angle_gamma 90.00
loop_
_atom_site_label
_atom_site_fract_x
_atom_site_fract_y
_atom_site_fract_z
_atom_site_occupancy
Re1 0.000 0.000 0.000 1
W1 0.250 0.250 0.250 1
F1 0.000 0.000 0.500 1
```

Summary:
Size of the total moment (μB/f.u.): 4.1
DOS at the Fermi energy (states/eV per cell): 7.8
Theoretical density (g/cm3): 14.6
Distance to the lowest polymorph of the same formula (eV/atom): 0.000